[1]
## BaBe2Tl (PBEsol)

Data for crystalline BaBe2Tl at its relaxed geometry.

Cell lengths 5.0787, 5.0787, 5.0787 Å; angles 60.00, 60.00, 60.00 degrees
Element x y z (fractional)
Be: 0.7500 0.7500 0.7500
Be: 0.0000 0.0000 0.0000
Tl: 0.2500 0.2500 0.2500
Ba: 0.5000 0.5000 0.5000

Values from the calculation:
Total DFT energy (no corrections): -10.17 eV for the cell shown
Space group: F-43m (216)
ΔE_f: 0.65 eV per atom
Energy relative to the lowest polymorph listed for this composition: 134 meV per atom

[2]
## CrSb2ClO (PBEsol)

Data for crystalline CrSb2ClO at its relaxed geometry.

Cell lengths 4.2622, 5.2566, 5.2566 Å; angles 90.00, 90.00, 90.00 degrees
Last column: magnetic moment on the atom in μB.
Element x y z (fractional)
Sb: 0.0000 0.0000 0.5000  -0.13
Sb: 0.0000 0.5000 0.0000  -0.13
O: 0.5000 0.5000 0.5000  0.68
Cl: 0.0000 0.0000 0.0000  -0.04
Cr: 0.5000 0.0000 0.0000  3.37

Values from the calculation:
Total DFT energy (no corrections): -20.51 eV for the cell shown
Raw formation energy: 1.221 eV/atom
Space group: P4/mmm (123)

[3]
## LaCr2Cu (PBEsol)

Data for crystalline LaCr2Cu at its relaxed geometry.

Cell lengths 4.6352, 4.6379, 4.6352 Å; angles 60.02, 90.00, 119.98 degrees
Last column: magnetic moment on the atom in μB.
Element x y z (fractional)
Cr: 0.2500 0.5000 0.2500  3.34
Cr: 0.0000 0.0000 0.0000  -2.82
Cu: 0.5000 0.0000 0.5000  0.05
La: 0.7500 0.5000 0.7500  -0.02

Values from the calculation:
Total DFT energy (no corrections): -28.01 eV for the cell shown
Space group: F-43m (216)
ΔE_f: 0.54 eV per atom
Energy relative to the lowest polymorph listed for this composition: 0 meV per atom

[4]
## CoOs2Se (PBEsol)

Data for crystalline CoOs2Se at its relaxed geometry.

Cell lengths 2.9903, 2.9903, 6.0302 Å; angles 90.00, 90.00, 90.00 degrees
Last column: magnetic moment on the atom in μB.
Element x y z (fractional)
Se: 0.5000 0.5000 0.0000  0.01
Os: 0.0000 0.0000 0.7225  0.03
Os: 0.0000 0.0000 0.2775  0.03
Co: 0.5000 0.5000 0.5000  0.39

Values from the calculation:
Total DFT energy (no corrections): -33.70 eV for the cell shown
Raw formation energy: 0.580 eV/atom
Space group: P4/mmm (123)

[5]
## TlIn5S7 (PBEsol)

Data for crystalline TlIn5S7 at its relaxed geometry.

Cell lengths 3.8700, 9.0403, 17.2283 Å; angles 102.18, 90.00, 90.00 degrees
Element x y z (fractional)
S: 0.2500 0.0545 0.0907
S: 0.7500 0.3397 0.0102
S: 0.7500 0.3879 0.6554
S: 0.7500 0.6699 0.5318
S: 0.7500 0.9643 0.4098
S: 0.2500 0.7492 0.7257
S: 0.2500 0.6121 0.3446
S: 0.2500 0.2635 0.8302
S: 0.7500 0.2508 0.2743
S: 0.2500 0.3301 0.4682
S: 0.2500 0.0357 0.5902
S: 0.7500 0.9455 0.9093
S: 0.2500 0.6603 0.9898
S: 0.7500 0.7365 0.1698
In: 0.7500 0.4743 0.3968
In: 0.7500 0.8541 0.0450
In: 0.2500 0.5257 0.6032
In: 0.2500 0.8268 0.4667
In: 0.2500 0.1459 0.9550
In: 0.7500 0.4441 0.8843
In: 0.2500 0.3177 0.1926
In: 0.7500 0.1732 0.5333
In: 0.7500 0.6823 0.8074
In: 0.2500 0.5559 0.1157
Tl: 0.7500 0.0378 0.7280
Tl: 0.2500 0.9622 0.2720

Values from the calculation:
Total DFT energy (no corrections): -111.14 eV for the cell shown
Raw formation energy: -0.564 eV/atom
Space group: P2_1/m (11)

[6]
## CuSNO2 (PBEsol)

Data for crystalline CuSNO2 at its relaxed geometry.

Cell lengths 3.3338, 3.3338, 4.0582 Å; angles 90.00, 90.00, 90.00 degrees
Element x y z (fractional)
O: 0.0000 0.5000 0.0000
O: 0.5000 0.0000 0.0000
S: 0.0000 0.0000 0.0000
N: 0.0000 0.0000 0.5000
Cu: 0.5000 0.5000 0.5000

Values from the calculation:
Total DFT energy (no corrections): -24.49 eV for the cell shown
Raw formation energy: 0.650 eV/atom
Space group: P4/mmm (123)

[7]
## AgPd2PtI (PBEsol)

Data for crystalline AgPd2PtI at its relaxed geometry.

Cell lengths 4.8191, 4.8191, 4.8651 Å; angles 90.00, 90.00, 90.00 degrees
Element x y z (fractional)
Pd: 0.5000 0.0000 0.0000
Pd: 0.0000 0.5000 0.0000
Ag: 0.0000 0.0000 0.0000
I: 0.5000 0.5000 0.5000
Pt: 0.0000 0.0000 0.5000

Values from the calculation:
Total DFT energy (no corrections): -18.13 eV for the cell shown
Raw formation energy: 1.166 eV/atom
Space group: P4/mmm (123)

[8]
## TcIrBr2 (PBEsol)

Data for crystalline TcIrBr2 at its relaxed geometry.

Cell lengths 2.9984, 2.9984, 8.4173 Å; angles 90.00, 90.00, 90.00 degrees
Element x y z (fractional)
Tc: 0.5000 0.5000 0.7188
Ir: 0.0000 0.0000 0.5405
Br: 0.0000 0.0000 0.9292
Br: 0.5000 0.5000 0.3115

Values from the calculation:
Total DFT energy (no corrections): -23.60 eV for the cell shown
Raw formation energy: 0.307 eV/atom
Space group: P4mm (99)
Energy relative to the lowest polymorph listed for this composition: 0 meV per atom

The lowest total DFT energy (no corrections) belongs to which entry? TlIn5S7